Here is an optimized crystal structure of Ac2ScIn4Au3 from Alexandria via LeMat-Bulk. Energies are from PBE.

Cell and atoms, written as CIF:
```
data_Ac2ScIn4Au3
_chemical_formula_sum 'Ac2 Sc1 In4 Au3'
_cell_length_a 4.562
_cell_length_b 4.562
_cell_length_c 12.568
_cell_angle_alpha 90.00
_cell_angle_beta 90.00
_cell_angle_gamma 90.00
_space_group_name_H-M_alt 'P -4 m 2'
_space_group_IT_number 115
loop_
_space_group_symop_operation_xyz
'x,y,z'
'y,-x,-z'
'-x,-y,z'
'-y,x,-z'
'-x,y,z'
'-y,-x,-z'
'x,-y,z'
'y,x,-z'
loop_
_atom_site_label
_atom_site_fract_x
_atom_site_fract_y
_atom_site_fract_z
Ac1 0.000 0.500 0.241
Sc1 0.000 0.000 0.500
In1 0.000 0.000 0.000
In2 0.000 0.500 0.644
In3 0.500 0.500 0.000
Au1 0.000 0.500 0.862
Au2 0.500 0.500 0.500
```

Output
The formation energy comes out at -550 meV per atom. The value obtained for the volume is 26.15 Å³/atom. The crystal system is tetragonal. The total energy comes out at -4.084 eV per atom.

=====

Here is an optimized crystal structure of BiHOs2 from Alexandria via LeMat-Bulk. Energies are from PBE.

Cell and atoms, written as CIF:
```
data_BiHOs2
_chemical_formula_sum 'Bi4 H4 Os8'
_cell_length_a 5.503
_cell_length_b 5.503
_cell_length_c 7.913
_cell_angle_alpha 90.00
_cell_angle_beta 90.00
_cell_angle_gamma 90.00
_space_group_name_H-M_alt 'I -4 2 d'
_space_group_IT_number 122
_space_group_name_Hall 'I -4 2bw'
loop_
_atom_site_label
_atom_site_fract_x
_atom_site_fract_y
_atom_site_fract_z
Bi1 0.000 0.000 0.000
H1 0.000 0.000 0.500
Os1 0.086 0.250 0.625
```

Output
The value obtained for the volume is 14.97 Å³/atom. The crystal system is tetragonal. The total energy comes out at -6.602 eV per atom.

=====

Here is an optimized crystal structure of Ba2Pu2Cl7 from Alexandria via LeMat-Bulk. Energies are from PBE.

Cell and atoms, written as CIF:
```
data_Ba2Pu2Cl7
_chemical_formula_sum 'Ba4 Pu4 Cl14'
_cell_length_a 9.640
_cell_length_b 10.367
_cell_length_c 7.152
_cell_angle_alpha 90.00
_cell_angle_beta 90.00
_cell_angle_gamma 90.00
_space_group_name_H-M_alt 'C m m m'
_space_group_IT_number 65
_space_group_name_Hall '-C 2 2'
loop_
_atom_site_label
_atom_site_fract_x
_atom_site_fract_y
_atom_site_fract_z
Ba1 0.235 0.000 0.000
Pu1 0.000 0.271 0.500
Cl1 0.000 0.000 0.500
Cl2 0.000 0.500 0.260
Cl3 0.250 0.250 0.260
```

Output
The value obtained for the volume is 32.49 Å³/atom. The crystal system is orthorhombic. The calculation puts the formation energy from raw total energies at -21.30 eV per formula unit. The total energy comes out at -6.067 eV per atom.

=====

Here is an optimized crystal structure of La3ZnN from Alexandria via LeMat-Bulk. Energies are from PBE.

Cell and atoms, written as CIF:
```
data_La3ZnN
_chemical_formula_sum 'La6 Zn2 N2'
_cell_length_a 3.638
_cell_length_b 9.992
_cell_length_c 7.490
_cell_angle_alpha 90.00
_cell_angle_beta 104.00
_cell_angle_gamma 90.00
_space_group_name_H-M_alt 'P 1 21/m 1'
_space_group_IT_number 11
loop_
_space_group_symop_operation_xyz
'x,y,z'
'-x,-y,-z'
'-x,y+1/2,-z'
'x,-y+1/2,z'
loop_
_atom_site_label
_atom_site_fract_x
_atom_site_fract_y
_atom_site_fract_z
La1 0.077 0.250 0.102
La2 0.395 0.073 0.736
Zn1 0.242 0.750 0.541
N1 0.084 0.750 0.241
```

Output
The value obtained for the volume is 26.42 Å³/atom. The crystal system is monoclinic. The calculation puts the formation energy from raw total energies at -2.83 eV per formula unit. The total energy comes out at -5.443 eV per atom.

=====

Here is an optimized crystal structure of K2Mn3H10 from Alexandria via LeMat-Bulk. Energies are from PBE.

Cell and atoms, written as CIF:
```
data_K2Mn3H10
_chemical_formula_sum 'K8 Mn12 H40'
_cell_length_a 15.145
_cell_length_b 5.931
_cell_length_c 6.559
_cell_angle_alpha 90.00
_cell_angle_beta 108.42
_cell_angle_gamma 90.00
_space_group_name_H-M_alt 'C 1 2/m 1'
_space_group_IT_number 12
loop_
_space_group_symop_operation_xyz
'x,y,z'
'-x,-y,-z'
'-x,y,-z'
'x,-y,z'
'x+1/2,y+1/2,z'
'-x+1/2,-y+1/2,-z'
'-x+1/2,y+1/2,-z'
'x+1/2,-y+1/2,z'
loop_
_atom_site_label
_atom_site_fract_x
_atom_site_fract_y
_atom_site_fract_z
K1 0.116 0.000 0.051
K2 0.220 0.000 0.614
Mn1 0.000 0.245 0.500
Mn2 0.038 0.500 0.184
Mn3 0.147 0.500 0.840
H1 0.000 0.298 0.000
H2 0.023 0.000 0.388
H3 0.030 0.500 0.653
H4 0.081 0.286 0.359
H5 0.104 0.240 0.707
H6 0.134 0.500 0.102
H7 0.219 0.500 0.699
H8 0.250 0.250 0.000
```

Output
The value obtained for the volume is 9.32 Å³/atom. The crystal system is monoclinic. The total energy comes out at -4.208 eV per atom.

=====

Here is an optimized crystal structure of TbNdPuCd from Alexandria via LeMat-Bulk. Energies are from PBE.

Cell and atoms, written as CIF:
```
data_TbNdPuCd
_chemical_formula_sum 'Tb4 Nd4 Pu4 Cd4'
_cell_length_a 7.740
_cell_length_b 7.740
_cell_length_c 7.740
_cell_angle_alpha 90.00
_cell_angle_beta 90.00
_cell_angle_gamma 90.00
_space_group_name_H-M_alt 'F -4 3 m'
_space_group_IT_number 216
_space_group_name_Hall 'F -4 2 3'
loop_
_atom_site_label
_atom_site_fract_x
_atom_site_fract_y
_atom_site_fract_z
Tb1 0.000 0.000 0.000
Nd1 0.000 0.000 0.500
Pu1 0.250 0.250 0.750
Cd1 0.250 0.250 0.250
```

Output
The formation energy comes out at 71 meV per atom. The value obtained for the volume is 28.98 Å³/atom. The crystal system is cubic. The total energy comes out at -6.090 eV per atom.